Below is a relaxed Au crystal, with properties calculated at the GGA-PBEsol level.

```
Au
1.0
2.800 0.000 0.000
-1.400 2.511 0.000
0.000 0.000 4.833
Au
2
Cartesian
1.400 1.685 1.208
0.000 0.825 3.625
```

Space group   No. 63
Final energy   -3.91 eV/atom